No. 1
The following is a PBE calculation of a relaxed structure of ZrV2Mo, from Alexandria via LeMat-Bulk.

Total magnetization (μB per atom): 0.266
Distance to the lowest polymorph of the same formula (eV/atom): 0.097
Density of states at the Fermi level (states/eV per cell): 6.61
ΔE_f (eV per atom): 0.135
ρ (g cm⁻³): 7.4

The structure in extended XYZ format:
```
4
Lattice="4.501 0.000 0.000 0.000 4.501 0.000 0.000 0.000 3.188" Properties=species:S:1:pos:R:3 pbc="T T T"
Zr 0.000 0.000 0.000
V 0.000 2.250 1.594
V 2.250 0.000 1.594
Mo 2.250 2.250 0.000
```



No. 2
The following is a PBE calculation of a relaxed structure of Nd2Y3Ho6Sc, from Alexandria via LeMat-Bulk.

Total magnetization (μB per atom): 0.000
Density of states at the Fermi level (states/eV per cell): 16.42
ΔE_f (eV per atom): 0.029
ρ (g cm⁻³): 7.0

The structure in extended XYZ format:
```
12
Lattice="3.064 -5.305 0.000 3.064 5.305 0.000 -2.035 0.000 11.575" Properties=species:S:1:pos:R:3 pbc="T T T"
Nd 3.064 3.539 0.000
Nd 3.064 -3.539 0.000
Y -1.017 0.000 5.788
Y 2.047 1.763 5.788
Y 2.047 -1.763 5.788
Ho 0.016 1.752 8.689
Ho 1.042 0.000 2.891
Ho 0.016 -1.752 8.689
Ho 4.078 1.752 2.886
Ho 3.052 0.000 8.684
Ho 4.078 -1.752 2.886
Sc 3.064 0.000 0.000
```